# 1
A relaxed structure of VAsHBr2, computed with GGA-PBE.

Summary:
The calculation puts the energy above the lowest structure with this stoichiometry at 0.00 kJ/mol of atoms. The space-group type is No. 123. Its crystal system is tetragonal.

Structure (POSCAR):
```
VAsHBr2
1.0
5.0823 0.0000 0.0000
0.0000 5.0823 0.0000
0.0000 0.0000 4.7413
H As Br V
1 1 2 1
Direct
0.5000 0.5000 0.5000
0.0000 0.0000 0.5000
0.0000 0.5000 0.0000
0.5000 0.0000 0.0000
0.0000 0.0000 0.0000
```

***

# 2
A relaxed structure of PrDyHg2, computed with GGA-PBE.

Summary:
The calculation puts the energy above the lowest structure with this stoichiometry at 1.34 kJ/mol of atoms. The space-group type is No. 225. The calculation puts the formation energy from the elements at -179 kJ/mol of formula units. Its crystal system is cubic.

Structure (POSCAR):
```
PrDyHg2
1.0
-2.6765 2.9902 3.5694
-5.2644 -0.7680 0.7366
-1.7791 -2.2117 4.5595
Pr Hg Dy
1 2 1
Direct
0.5000 0.5000 0.5000
0.2500 0.2500 0.2500
0.7500 0.7500 0.7500
0.0000 0.0000 0.0000
```

***

# 3
A relaxed structure of Dy2NiGe4Pd3, computed with GGA-PBE.

Summary:
The space-group type is No. 115. The calculation puts the formation energy from the elements at -698 kJ/mol of formula units. Its crystal system is tetragonal.

Structure (POSCAR):
```
Dy2NiGe4Pd3
1.0
4.1924 0.0000 0.0000
0.0000 4.1924 0.0000
0.0000 0.0000 10.3713
Dy Ni Ge Pd
2 1 4 3
Direct
0.5000 0.0000 0.2607
0.0000 0.5000 0.7393
0.5000 0.5000 0.5000
0.5000 0.5000 0.0000
0.0000 0.0000 0.0000
0.5000 0.0000 0.6246
0.0000 0.5000 0.3754
0.0000 0.0000 0.5000
0.5000 0.0000 0.8600
0.0000 0.5000 0.1400
```